# Li3V3O5F3

Li3V3O5F3 after structural relaxation (GGA+U, Alexandria).

Cell lengths 5.4067, 5.9352, 5.9845 Å; angles 60.49, 71.89, 89.86 degrees
Space group P1 (No. 1)
Unique sites:
Li (0.0000, 0.0000, 0.0000)
Li (0.0856, 0.0312, 0.4677)
Li (0.5040, 0.0556, 0.5913)
V (0.2621, 0.4887, 0.9355)
V (0.7512, 0.5257, 0.0440)
V (0.8278, 0.5259, 0.5365)
O (0.0984, 0.7998, 0.8260)
O (0.4331, 0.3132, 0.2267)
O (0.6295, 0.7151, 0.7195)
O (0.9120, 0.3388, 0.3237)
O (0.9632, 0.3627, 0.8498)
F (0.1169, 0.8357, 0.2987)
F (0.4725, 0.2555, 0.7745)
F (0.6657, 0.7388, 0.2315)

Results
E above lowest polymorph in meV per atom: 92
Raw total energy in eV per atom: -6.45